Record 1
YZnFe2 at its PBEsol-relaxed geometry, computed with meta-GGA SCAN.

extended XYZ file:
```
4
Lattice="4.042 0.000 0.000 0.000 4.042 0.000 0.000 0.000 3.609" Properties=species:S:1:pos:R:3 pbc="T T T"
Y 0.000 0.000 0.000
Zn 2.021 2.021 0.000
Fe 0.000 2.021 1.804
Fe 2.021 0.000 1.804
```

## Properties
**ΔH_f (0 K)**: 0.25 eV per atom

Record 2
CoH2Se at its PBEsol-relaxed geometry, computed with meta-GGA SCAN.

extended XYZ file:
```
4
Lattice="0.000 2.558 2.558 2.558 0.000 2.558 2.558 2.558 0.000" Properties=species:S:1:pos:R:3 pbc="T T T"
Co 0.000 0.000 0.000
H 1.279 1.279 1.279
H 3.837 3.837 3.837
Se 2.558 2.558 2.558
```

## Properties
**Polymorph energy (0 for the lowest one)**: 9.69 kcal/mol of atoms

Record 3
BaTiI6O18 at its PBEsol-relaxed geometry, computed with meta-GGA SCAN.

extended XYZ file:
```
26
Lattice="5.604 3.235 3.648 -5.604 3.235 3.648 0.000 -6.471 3.648" Properties=species:S:1:pos:R:3 pbc="T T T"
Ba 0.000 0.000 0.000
Ti 0.000 0.000 7.058
I -2.346 -3.647 4.803
I -3.338 0.479 6.009
I -1.985 3.855 4.803
I 1.255 -3.130 6.009
I 4.331 -0.208 4.803
I 2.083 2.652 6.009
O -0.139 -2.552 2.267
O -2.709 -0.892 3.972
O -2.141 1.396 2.267
O -3.490 1.871 4.838
O -2.912 -2.334 6.858
O 0.125 -3.958 4.838
O 2.127 -1.900 3.972
O -1.451 0.641 6.056
O 2.279 1.156 2.267
O 0.171 -1.577 6.056
O 0.582 2.792 3.972
O -1.185 -0.924 8.436
O 1.281 0.937 6.056
O -0.565 3.689 6.858
O -0.207 1.488 8.436
O 3.366 2.087 4.838
O 1.392 -0.565 8.436
O 3.477 -1.355 6.858
```

## Properties
**ΔE_f (raw)**: -0.968 eV/atom

Record 4
Ho at its PBEsol-relaxed geometry, computed with meta-GGA SCAN.

extended XYZ file:
```
1
Lattice="0.000 2.434 2.434 2.434 0.000 2.434 2.434 2.434 0.000" Properties=species:S:1:pos:R:3 pbc="T T T"
Ho 0.000 0.000 0.000
```

## Properties
**ΔH_f (0 K)**: 0.02 eV per atom
**Polymorph energy (0 for the lowest one)**: 0.49 kcal/mol of atoms

Record 5
Li2PmGe at its PBEsol-relaxed geometry, computed with meta-GGA SCAN.

extended XYZ file:
```
4
Lattice="0.000 3.253 3.253 3.253 0.000 3.253 3.253 3.253 0.000" Properties=species:S:1:pos:R:3 pbc="T T T"
Li 1.627 1.627 1.627
Li 4.880 4.880 4.880
Pm 0.000 0.000 0.000
Ge 3.253 3.253 3.253
```

## Properties
**ΔH_f (0 K)**: -0.41 eV per atom

Record 6
GeSb3Pt at its PBEsol-relaxed geometry, computed with meta-GGA SCAN.

extended XYZ file:
```
5
Lattice="5.193 0.000 0.000 0.000 5.193 0.000 0.000 0.000 5.193" Properties=species:S:1:pos:R:3 pbc="T T T"
Ge 0.000 0.000 0.000
Sb 0.000 2.596 2.596
Sb 2.596 0.000 2.596
Sb 2.596 2.596 0.000
Pt 2.596 2.596 2.596
```

## Properties
**ΔE_f (raw)**: 0.556 eV/atom

We obtain magnetic moment values of 3.24 2.01 0.00 0.00 0.00 0.00 μB per formula unit for the records listed above, in that order.